No. 1
The following is a DFT calculation (GGA-PBE) of crystalline VPS2N at its relaxed geometry.

Cell lengths 4.123, 4.123, 3.842 Å; angles 90.00, 90.00, 90.00 degrees
Atoms (fractional coordinates):
1 P 0.000 0.000 0.500
2 S 0.000 0.500 0.000
3 S 0.500 0.000 0.000
4 N 0.000 0.000 0.000
5 V 0.500 0.500 0.500

Values from the calculation:
- energy relative to the elements, uncorrected (eV/atom) = 0.90
- space-group type = No. 123



No. 2
The following is a DFT calculation (GGA-PBE) of crystalline Cu2TcIr at its relaxed geometry.

Cell lengths 2.728, 2.728, 7.194 Å; angles 90.00, 90.00, 90.00 degrees
Atoms (fractional coordinates):
1 Cu 0.000 0.000 0.012
2 Cu 0.500 0.500 0.239
3 Ir 0.000 0.000 0.499
4 Tc 0.500 0.500 0.750

Values from the calculation:
- calculated formation energy (meV/atom) = 35
- space-group type = No. 99



Sequential E_tot output: -0.3908 -0.5013 Ry per atom